(1)
This record from Alexandria via LeMat-Bulk describes Be2InRu after structural relaxation. The functional is PBE-GGA.

Properties
**Formation energy from the elements**: 0.07 eV per atom
**E**: -19.2 eV per cell
**Energy relative to the lowest polymorph listed for this composition**: 146 meV/atom
**Space-group type**: No. 123

The structure in POSCAR format:
```
Be2InRu
1.0
3.983 0.000 0.000
0.000 3.983 0.000
0.000 0.000 3.208
Be In Ru
2 1 1
Direct
0.000 0.500 0.000
0.500 0.000 0.000
0.000 0.000 0.500
0.500 0.500 0.500
```

***

(2)
This record from Alexandria via LeMat-Bulk describes BeInRu after structural relaxation. The functional is PBE-GGA.

Properties
**Formation energy from the elements**: -0.07 eV per atom
**E**: -15.9 eV per cell
**Energy relative to the lowest polymorph listed for this composition**: 0 meV/atom
**Space-group type**: No. 107

The structure in POSCAR format:
```
BeInRu
1.0
-1.542 1.542 4.648
1.542 -1.542 4.648
1.542 1.542 -4.648
Be In Ru
1 1 1
Direct
0.000 0.000 0.000
0.717 0.717 0.000
0.415 0.415 0.000
```

***

(3)
This record from Alexandria via LeMat-Bulk describes BeInRu after structural relaxation. The functional is PBE-GGA.

Properties
**Formation energy from the elements**: 0.02 eV per atom
**E**: -15.7 eV per cell
**Energy relative to the lowest polymorph listed for this composition**: 91 meV/atom
**Space-group type**: No. 187

The structure in POSCAR format:
```
BeInRu
1.0
3.938 0.000 0.000
-1.969 3.410 0.000
0.000 0.000 3.340
Be In Ru
1 1 1
Direct
0.000 0.000 0.000
0.667 0.333 0.500
0.333 0.667 0.000
```

***

(4)
This record from Alexandria via LeMat-Bulk describes BeInRu2 after structural relaxation. The functional is PBE-GGA.

Properties
**Formation energy from the elements**: 0.08 eV per atom
**E**: -24.7 eV per cell
**Energy relative to the lowest polymorph listed for this composition**: 57 meV/atom
**Space-group type**: No. 12

The structure in POSCAR format:
```
BeInRu2
1.0
4.730 -1.494 0.000
4.730 1.494 0.000
-2.173 0.000 3.989
Be In Ru
1 1 2
Direct
0.000 0.000 0.000
0.500 0.500 0.500
0.288 0.288 0.788
0.712 0.712 0.212
```

***

(5)
This record from Alexandria via LeMat-Bulk describes BeInRu2 after structural relaxation. The functional is PBE-GGA.

Properties
**Formation energy from the elements**: 0.33 eV per atom
**E**: -23.7 eV per cell
**Energy relative to the lowest polymorph listed for this composition**: 308 meV/atom
**Space-group type**: No. 47

The structure in POSCAR format:
```
BeInRu2
1.0
3.053 0.000 0.000
0.000 4.215 0.000
0.000 0.000 4.574
Be In Ru
1 1 2
Direct
0.000 0.000 0.000
0.500 0.000 0.500
0.000 0.500 0.500
0.500 0.500 0.000
```

***

(6)
This record from Alexandria via LeMat-Bulk describes BeInRu2 after structural relaxation. The functional is PBE-GGA.

Properties
**Formation energy from the elements**: 0.20 eV per atom
**E**: -24.2 eV per cell
**Energy relative to the lowest polymorph listed for this composition**: 180 meV/atom
**Space-group type**: No. 225

The structure in POSCAR format:
```
BeInRu2
1.0
0.000 3.064 3.064
3.064 0.000 3.064
3.064 3.064 0.000
Be In Ru
1 1 2
Direct
0.000 0.000 0.000
0.500 0.500 0.500
0.250 0.250 0.250
0.750 0.750 0.750
```

***

(7)
This record from Alexandria via LeMat-Bulk describes BeInRu2 after structural relaxation. The functional is PBE-GGA.

Properties
**Formation energy from the elements**: 0.17 eV per atom
**E**: -24.3 eV per cell
**Energy relative to the lowest polymorph listed for this composition**: 147 meV/atom
**Space-group type**: No. 166

The structure in POSCAR format:
```
BeInRu2
1.0
1.500 0.866 7.369
-1.500 0.866 7.369
0.000 -1.733 7.369
Be In Ru
1 1 2
Direct
0.000 0.000 0.000
0.500 0.500 0.500
0.267 0.267 0.267
0.733 0.733 0.733
```

***

(8)
This record from Alexandria via LeMat-Bulk describes Be2InRu after structural relaxation. The functional is PBE-GGA.

Properties
**Formation energy from the elements**: 0.08 eV per atom
**E**: -19.1 eV per cell
**Energy relative to the lowest polymorph listed for this composition**: 156 meV/atom
**Space-group type**: No. 6

The structure in POSCAR format:
```
Be2InRu
1.0
3.018 0.000 0.000
0.000 3.632 0.000
-1.491 0.000 4.686
Be In Ru
2 1 1
Direct
0.000 0.000 0.000
0.120 0.500 0.243
0.738 0.000 0.480
0.429 0.500 0.856
```

***

(9)
This record from Alexandria via LeMat-Bulk describes BeInRu2 after structural relaxation. The functional is PBE-GGA.

Properties
**Formation energy from the elements**: 0.19 eV per atom
**E**: -24.3 eV per cell
**Energy relative to the lowest polymorph listed for this composition**: 167 meV/atom
**Space-group type**: No. 44

The structure in POSCAR format:
```
BeInRu2
1.0
-1.521 2.162 4.356
1.521 -2.162 4.356
1.521 2.162 -4.356
Be In Ru
1 1 2
Direct
0.000 0.000 0.000
0.255 0.755 0.500
0.532 0.532 0.000
0.789 0.289 0.500
```

***

(10)
This record from Alexandria via LeMat-Bulk describes BeInRu2 after structural relaxation. The functional is PBE-GGA.

Properties
**Formation energy from the elements**: 0.24 eV per atom
**E**: -24.0 eV per cell
**Energy relative to the lowest polymorph listed for this composition**: 223 meV/atom
**Space-group type**: No. 65

The structure in POSCAR format:
```
BeInRu2
1.0
1.540 -2.372 0.000
1.540 2.372 0.000
0.000 0.000 7.893
Be In Ru
1 1 2
Direct
0.000 0.000 0.000
0.000 0.000 0.500
0.500 0.500 0.209
0.500 0.500 0.791
```

***

(11)
This record from Alexandria via LeMat-Bulk describes BeInRu2 after structural relaxation. The functional is PBE-GGA.

Properties
**Formation energy from the elements**: 0.19 eV per atom
**E**: -24.3 eV per cell
**Energy relative to the lowest polymorph listed for this composition**: 166 meV/atom
**Space-group type**: No. 6

The structure in POSCAR format:
```
BeInRu2
1.0
2.884 0.000 0.000
0.000 4.081 0.000
-1.435 0.000 4.998
Be In Ru
1 1 2
Direct
0.000 0.000 0.000
0.632 0.500 0.258
0.294 0.000 0.582
0.900 0.500 0.791
```

***

(12)
This record from Alexandria via LeMat-Bulk describes Be2InRu after structural relaxation. The functional is PBE-GGA.

Properties
**Formation energy from the elements**: 0.05 eV per atom
**E**: -19.3 eV per cell
**Energy relative to the lowest polymorph listed for this composition**: 121 meV/atom
**Space-group type**: No. 119

The structure in POSCAR format:
```
Be2InRu
1.0
-1.778 1.778 4.110
1.778 -1.778 4.110
1.778 1.778 -4.110
Be In Ru
2 1 1
Direct
0.000 0.000 0.000
0.750 0.250 0.500
0.250 0.750 0.500
0.500 0.500 0.000
```

***

(13)
This record from Alexandria via LeMat-Bulk describes Be2InRu after structural relaxation. The functional is PBE-GGA.

Properties
**Formation energy from the elements**: 0.11 eV per atom
**E**: -19.0 eV per cell
**Energy relative to the lowest polymorph listed for this composition**: 186 meV/atom
**Space-group type**: No. 225

The structure in POSCAR format:
```
Be2InRu
1.0
0.000 2.934 2.934
2.934 0.000 2.934
2.934 2.934 0.000
Be In Ru
2 1 1
Direct
0.250 0.250 0.250
0.750 0.750 0.750
0.000 0.000 0.000
0.500 0.500 0.500
```

***

(14)
This record from Alexandria via LeMat-Bulk describes Be2InRu after structural relaxation. The functional is PBE-GGA.

Properties
**Formation energy from the elements**: 0.09 eV per atom
**E**: -19.1 eV per cell
**Energy relative to the lowest polymorph listed for this composition**: 163 meV/atom
**Space-group type**: No. 99

The structure in POSCAR format:
```
Be2InRu
1.0
3.012 0.000 0.000
0.000 3.012 0.000
0.000 0.000 5.940
Be In Ru
2 1 1
Direct
0.000 0.000 0.000
0.500 0.500 0.195
0.000 0.000 0.508
0.500 0.500 0.828
```

***

(15)
This record from Alexandria via LeMat-Bulk describes BeInRu after structural relaxation. The functional is PBE-GGA.

Properties
**Formation energy from the elements**: 0.16 eV per atom
**E**: -15.3 eV per cell
**Energy relative to the lowest polymorph listed for this composition**: 228 meV/atom
**Space-group type**: No. 216

The structure in POSCAR format:
```
BeInRu
1.0
0.000 2.838 2.838
2.838 0.000 2.838
2.838 2.838 0.000
Be In Ru
1 1 1
Direct
0.000 0.000 0.000
0.250 0.250 0.250
0.750 0.750 0.750
```